Record 1
{"formula": "Sm2GaSe", "functional": "PBE-GGA", "state": "optimized geometry", "e_above_lowest_polymorph_mev_per_atom": 0, "volume_a3_per_cell": 206, "cell": [[-0.7773, -3.9361, -0.9513], [2.3759, 0.4022, -3.6054], [8.1869, -3.4577, 7.6171]], "species": ["Ga", "Ga", "Se", "Se", "Sm", "Sm", "Sm", "Sm"], "fractional_positions": [[0.7500, 0.5385, 0.0769], [0.2500, 0.4615, 0.9231], [0.2500, 0.1921, 0.3843], [0.7500, 0.8079, 0.6157], [0.2500, 0.3198, 0.6396], [0.7500, 0.6802, 0.3604], [0.2500, 0.0661, 0.1322], [0.7500, 0.9339, 0.8678]]}

=====

Record 2
{"formula": "Sm3GaSe2", "functional": "PBE-GGA", "state": "optimized geometry", "volume_a3_per_cell": 158, "cell": [[4.1074, 0.0000, 0.0000], [0.0000, 5.9455, 0.0000], [-2.0537, -2.9728, 6.4687]], "species": ["Ga", "Se", "Se", "Sm", "Sm", "Sm"], "fractional_positions": [[0.5000, 0.5000, 0.5000], [0.1673, 0.1673, 0.8346], [0.8327, 0.8327, 0.1654], [0.8327, 0.3327, 0.1654], [0.5000, 0.0000, 0.5000], [0.1673, 0.6673, 0.8346]]}

=====

| no. | formation energy from raw total energies (meV/atom) |
| --- | --- |
| 1 | -1253 |
| 2 | -1453 |